The following is a PBE-GGA calculation of Hf2In3Ag after structural relaxation, from the Alexandria database.

The density of states at the Fermi level comes out at 3.2 states/eV/f.u. The energy relative to the elements is -54 meV/atom. The calculation puts the energy relative to the lowest polymorph listed for this composition at 3.9 kJ per mole of atoms. The total energy comes out at -5.217 eV/atom. For the density, the calculation gives 10.3 g/cm3.

Lattice parameters (Å, degrees): 6.095 5.565 8.287 95.41 111.58 90.00
Sites, in units of the cell vectors:
Ag1 0.883 0.750 0.000
Ag2 0.117 0.250 0.000
Hf1 0.212 0.400 0.655
Hf2 0.788 0.600 0.345
Hf3 0.556 0.100 0.345
Hf4 0.444 0.900 0.655
In1 0.719 0.423 0.680
In2 0.281 0.577 0.320
In3 0.387 0.750 0.000
In4 0.039 0.077 0.320
In5 0.961 0.923 0.680
In6 0.613 0.250 0.000